# SnBi3C

An optimized crystal structure of SnBi3C (PBE-GGA, Alexandria).

Cell: 5.076 5.076 5.076 Å, 90.00 90.00 90.00°
Space group Pm-3m (No. 221)
Symmetry-distinct sites (fractional):
Sn 0.000 0.000 0.000 [1 per cell]
Bi 0.000 0.500 0.500 [3 per cell]
C 0.500 0.500 0.500 [1 per cell]

Output
The crystal system is cubic. Its formation energy from the elements is 0.866 eV per atom. Its energy above the most stable polymorph in this dataset is 0 meV per atom.